Computed, not measured: ZrSnHgPd2 at its PBEsol-relaxed geometry at the meta-GGA SCAN level of DFT.

The structure in CIF format:
```
data_ZrSnHgPd2
_chemical_formula_sum 'Zr1 Sn1 Hg1 Pd2'
_cell_length_a 4.8461
_cell_length_b 4.8461
_cell_length_c 5.3804
_cell_angle_alpha 90.00
_cell_angle_beta 90.00
_cell_angle_gamma 90.00
_space_group_name_H-M_alt 'P 4/m m m'
_space_group_IT_number 123
_space_group_name_Hall '-P 4 2'
loop_
_atom_site_label
_atom_site_type_symbol
_atom_site_fract_x
_atom_site_fract_y
_atom_site_fract_z
Zr1 Zr 0.0000 0.0000 0.0000
Sn1 Sn 0.5000 0.5000 0.5000
Hg1 Hg 0.0000 0.0000 0.5000
Pd1 Pd 0.0000 0.5000 0.0000
```

## Properties
* ΔH_f (0 K): 0.627 eV/atom
* DOS at the Fermi energy: 3.93 states/eV per cell
* final energy: -39.44 eV/atom